No. 1
# Ce5In6

Ce5In6 after structural relaxation (PBE, the Alexandria database).

CIF file:
```
data_Ce5In6
_chemical_formula_sum 'Ce10 In12'
_cell_length_a 5.108
_cell_length_b 7.911
_cell_length_c 15.241
_cell_angle_alpha 90.00
_cell_angle_beta 90.00
_cell_angle_gamma 90.00
_space_group_name_H-M_alt 'I m m m'
_space_group_IT_number 71
_space_group_name_Hall '-I 2 2'
loop_
_atom_site_label
_atom_site_fract_x
_atom_site_fract_y
_atom_site_fract_z
Ce1 0.000 0.000 0.000
Ce2 0.000 0.000 0.292
Ce3 0.000 0.500 0.347
In1 0.000 0.191 0.500
In2 0.000 0.296 0.141
```



No. 2
# K3Pd2F8 | the Alexandria database | PBE | optimized geometry
# E_form (uncorrected): -1.80 eV/atom
data_K3Pd2F8
_chemical_formula_sum 'K9 Pd6 F24'
_cell_length_a 6.5126
_cell_length_b 6.5126
_cell_length_c 20.0809
_cell_angle_alpha 90.00
_cell_angle_beta 90.00
_cell_angle_gamma 120.00
_space_group_name_H-M_alt 'R -3 m'
_space_group_IT_number 166
_space_group_name_Hall '-R 3 2"'
loop_
_atom_site_label
_atom_site_fract_x
_atom_site_fract_y
_atom_site_fract_z
K1 0.0000 0.0000 0.0000
K2 0.0000 0.0000 0.2100
Pd1 0.0000 0.0000 0.4366
F1 0.0000 0.0000 0.3341
F2 0.0272 0.5136 0.7747



No. 3
# Rb2Pu2O7 | the Alexandria database | PBE | optimized geometry
# E_form (uncorrected): -2.44 eV/atom
data_Rb2Pu2O7
_chemical_formula_sum 'Rb8 Pu8 O28'
_cell_length_a 8.163
_cell_length_b 11.239
_cell_length_c 8.472
_cell_angle_alpha 90.00
_cell_angle_beta 90.00
_cell_angle_gamma 90.00
_space_group_name_H-M_alt 'I m m a'
_space_group_IT_number 74
_space_group_name_Hall '-I 2b 2'
loop_
_atom_site_label
_atom_site_fract_x
_atom_site_fract_y
_atom_site_fract_z
Rb1 0.000 0.000 0.000
Rb2 0.250 0.250 0.250
Pu1 0.000 0.000 0.500
Pu2 0.250 0.250 0.750
O1 0.000 0.081 0.310
O2 0.000 0.250 0.830
O3 0.196 0.122 0.586



| no. | raw total energy (eV/atom) |
| --- | --- |
| 1 | -4.45 |
| 2 | -4.00 |
| 3 | -8.38 |